## Pm4HoTm5 (PBE-GGA)

Data for a relaxed structure of Pm4HoTm5.

* SG: P-1
* ΔE_f: 0.196 eV per atom
* final energy: -4.398 eV per atom
* volume: 33.27 A^3/atom

```
Pm4HoTm5
1.0
3.5021 0.0000 0.0000
-1.7375 8.5063 0.0000
-0.0023 -0.0153 11.1674
Pm Ho Tm
4 1 5
Direct
0.0326 0.0635 0.2494
0.3473 0.6859 0.2502
0.6527 0.3141 0.7498
0.9674 0.9365 0.7506
0.5000 0.0000 0.5000
0.1721 0.3463 0.0486
0.1724 0.3472 0.4502
0.5000 0.0000 0.0000
0.8276 0.6528 0.5498
0.8279 0.6537 0.9514
```